No. 1
Below is an optimized crystal structure of PrSmEuDy, with properties calculated at the GGA-PBE level.

Geometry as extended XYZ:
```
4
Lattice="5.844 0.000 0.000 2.922 5.061 0.000 2.922 1.687 4.772" Properties=species:S:1:pos:R:3 pbc="T T T"
Eu 5.844 3.374 2.386
Pr 8.766 5.061 3.579
Sm 2.922 1.687 1.193
Dy 0.000 0.000 0.000
```

VASP energy   -5.95 eV per atom

***

No. 2
Below is an optimized crystal structure of TbPrEuDy, with properties calculated at the GGA-PBE level.

Geometry as extended XYZ:
```
4
Lattice="-5.116 -1.234 -2.471 -2.754 -4.944 1.331 -4.871 0.148 3.171" Properties=species:S:1:pos:R:3 pbc="T T T"
Eu -9.555 -4.523 1.523
Pr -3.185 -1.508 0.508
Tb 0.000 0.000 0.000
Dy -6.370 -3.015 1.015
```

VASP energy   -5.92 eV per atom

***

No. 3
Below is an optimized crystal structure of PrEuDyTl, with properties calculated at the GGA-PBE level.

Geometry as extended XYZ:
```
4
Lattice="-3.000 -2.170 -4.210 -4.507 -3.147 1.101 -5.132 1.974 -1.094" Properties=species:S:1:pos:R:3 pbc="T T T"
Eu -3.160 -0.836 -1.051
Pr -6.319 -1.672 -2.101
Tl -9.479 -2.507 -3.152
Dy 0.000 0.000 0.000
```

VASP energy   -5.56 eV per atom

***

No. 4
Below is an optimized crystal structure of PrEuDyY, with properties calculated at the GGA-PBE level.

Geometry as extended XYZ:
```
4
Lattice="-4.253 -2.661 2.948 -1.626 -5.390 -1.469 1.249 -4.473 3.506" Properties=species:S:1:pos:R:3 pbc="T T T"
Eu 0.000 0.000 0.000
Pr -2.315 -6.262 2.493
Y -3.472 -9.394 3.739
Dy -1.157 -3.131 1.246
```

VASP energy   -6.39 eV per atom

***

No. 5
Below is an optimized crystal structure of PrEuDyZn, with properties calculated at the GGA-PBE level.

Geometry as extended XYZ:
```
4
Lattice="-0.712 -1.878 -5.091 3.144 -4.065 -1.882 -2.146 -4.970 -0.809" Properties=species:S:1:pos:R:3 pbc="T T T"
Eu 0.072 -2.728 -1.946
Pr 0.000 0.000 0.000
Zn 0.215 -8.184 -5.837
Dy 0.144 -5.456 -3.891
```

VASP energy   -5.17 eV per atom

***

No. 6
Below is an optimized crystal structure of EuDyPt, with properties calculated at the GGA-PBE level.

Geometry as extended XYZ:
```
3
Lattice="-3.503 2.767 -2.125 -3.275 -2.082 -3.064 -4.720 -0.491 1.389" Properties=species:S:1:pos:R:3 pbc="T T T"
Eu 0.000 0.000 0.000
Pt -2.874 0.049 -0.950
Dy -5.749 0.097 -1.900
```

Excess energy over the best structure of this formula in the dataset   0.0 meV per atom
VASP energy   -7.72 eV per atom

***

No. 7
Below is an optimized crystal structure of EuDyPt, with properties calculated at the GGA-PBE level.

Geometry as extended XYZ:
```
3
Lattice="-3.680 4.134 3.318 -3.303 -2.476 -0.578 2.433 -0.518 3.344" Properties=species:S:1:pos:R:3 pbc="T T T"
Eu -4.149 1.276 3.217
Pt -0.072 0.081 0.065
Dy -0.328 -0.217 2.802
```

Excess energy over the best structure of this formula in the dataset   20.8 meV per atom
VASP energy   -7.70 eV per atom

***

No. 8
Below is an optimized crystal structure of EuDy3Pt, with properties calculated at the GGA-PBE level.

Geometry as extended XYZ:
```
5
Lattice="5.532 0.000 0.000 0.000 5.532 0.000 0.000 0.000 5.532" Properties=species:S:1:pos:R:3 pbc="T T T"
Eu 2.766 2.766 2.766
Pt 0.000 0.000 0.000
Dy 0.000 2.766 0.000
Dy 0.000 0.000 2.766
Dy 2.766 0.000 0.000
```

VASP energy   -6.43 eV per atom

***

No. 9
Below is an optimized crystal structure of EuDyPt4, with properties calculated at the GGA-PBE level.

Geometry as extended XYZ:
```
6
Lattice="-3.643 0.057 4.081 1.487 -1.599 5.017 0.455 3.681 4.022" Properties=species:S:1:pos:R:3 pbc="T T T"
Eu 0.000 0.000 0.000
Pt -1.291 -0.503 6.189
Pt -1.807 2.136 5.692
Pt -1.064 1.336 8.199
Pt 0.757 1.308 6.160
Dy -0.426 0.535 3.280
```

VASP energy   -7.54 eV per atom

***

No. 10
Below is an optimized crystal structure of EuDyPtRh, with properties calculated at the GGA-PBE level.

Geometry as extended XYZ:
```
4
Lattice="-0.281 4.391 2.267 1.156 0.387 4.797 4.137 2.348 1.367" Properties=species:S:1:pos:R:3 pbc="T T T"
Eu 0.000 0.000 0.000
Rh 3.759 5.345 6.323
Pt 1.253 1.782 2.108
Dy 2.506 3.563 4.215
```

VASP energy   -7.88 eV per atom

***

No. 11
Below is an optimized crystal structure of EuDyZnPt, with properties calculated at the GGA-PBE level.

Geometry as extended XYZ:
```
4
Lattice="-4.654 -0.615 1.876 -1.510 -4.562 1.571 -0.639 -0.891 4.935" Properties=species:S:1:pos:R:3 pbc="T T T"
Eu 0.000 0.000 0.000
Zn -1.701 -1.517 2.096
Pt -5.102 -4.550 6.287
Dy -3.402 -3.034 4.191
```

VASP energy   -6.22 eV per atom

***

No. 12
Below is an optimized crystal structure of EuDyPu4, with properties calculated at the GGA-PBE level.

Geometry as extended XYZ:
```
6
Lattice="-1.137 1.208 -6.219 -5.392 -2.170 -2.766 -4.643 4.130 -1.680" Properties=species:S:1:pos:R:3 pbc="T T T"
Eu -2.793 0.792 -2.666
Dy 0.000 0.000 0.000
Pu -6.285 2.846 -4.960
Pu -6.569 0.464 -5.371
Pu -4.530 1.284 -4.325
Pu -4.960 1.741 -6.676
```

VASP energy   -10.29 eV per atom